# 1
K2RbZnP2 (PBE, relaxed); ρ = 2.6 g/cm3; E_form = -210 meV per atom; electronic total energy = -2.753 eV/atom
1.0
-6.286 5.366 0.671
-4.217 -4.648 -2.339
4.101 -2.497 7.157
P K Rb Zn
4 4 2 2
direct
0.584 0.412 0.824 P
0.760 0.088 0.176 P
0.416 0.588 0.176 P
0.240 0.912 0.824 P
0.498 0.819 0.637 K
0.139 0.319 0.637 K
0.502 0.181 0.363 K
0.861 0.681 0.363 K
0.000 0.750 0.000 Rb
0.000 0.250 0.000 Rb
0.500 0.750 0.000 Zn
0.500 0.250 0.000 Zn



# 2
KReP2 (PBE, relaxed); ρ = 4.7 g/cm3; E_form = -41 meV per atom; electronic total energy = -6.133 eV/atom; energy above the most stable polymorph in this dataset = 144.0 meV/atom
1.0
3.984 0.000 0.000
0.000 3.427 -0.011
0.000 1.741 7.359
P K Re
2 1 1
direct
0.000 0.037 0.051 P
0.500 0.359 0.407 P
0.500 0.670 0.787 K
0.000 0.435 0.255 Re



# 3
KRe2P (PBE, relaxed); ρ = 9.0 g/cm3; E_form = 434 meV per atom; electronic total energy = -7.417 eV/atom; energy above the most stable polymorph in this dataset = 72.7 meV/atom
1.0
-0.961 1.400 2.231
-0.367 -3.378 1.962
6.961 0.722 2.545
P Re K
1 2 1
direct
0.500 0.500 0.829 P
0.000 0.000 0.003 Re
0.500 0.500 0.144 Re
0.000 0.000 0.524 K



# 4
KReP2 (PBE, relaxed); ρ = 6.0 g/cm3; E_form = 757 meV per atom; electronic total energy = -5.334 eV/atom; energy above the most stable polymorph in this dataset = 942.9 meV/atom
1.0
-1.279 -1.831 -1.634
1.860 -1.495 1.402
-7.284 -1.812 7.733
P Re K
2 1 1
direct
0.000 0.000 0.990 P
0.500 0.500 0.305 P
0.000 0.000 0.462 Re
0.500 0.500 0.743 K



# 5
KReP2 (PBE, relaxed); ρ = 5.6 g/cm3; E_form = 143 meV per atom; electronic total energy = -5.948 eV/atom; energy above the most stable polymorph in this dataset = 328.7 meV/atom
1.0
-0.962 -0.602 2.959
1.610 -2.729 -0.032
6.866 4.015 3.050
P Re K
2 1 1
direct
0.500 0.500 0.406 P
0.000 0.000 0.032 P
0.000 0.000 0.296 Re
0.500 0.500 0.766 K



# 6
KRe2P (PBE, relaxed); ρ = 9.6 g/cm3; E_form = 730 meV per atom; electronic total energy = -7.121 eV/atom; energy above the most stable polymorph in this dataset = 368.9 meV/atom
1.0
-0.263 2.359 -1.780
-0.371 -1.799 -2.330
-8.547 0.048 1.324
Re P K
2 1 1
direct
0.000 0.000 0.902 Re
0.000 0.000 0.598 Re
0.500 0.500 0.750 P
0.500 0.500 0.250 K



# 7
KRe2P (PBE, relaxed); ρ = 10.2 g/cm3; E_form = 1248 meV per atom; electronic total energy = -6.603 eV/atom; energy above the most stable polymorph in this dataset = 886.8 meV/atom
1.0
-2.379 1.342 -4.358
-2.520 -4.802 3.049
-1.749 1.095 1.525
Re K P
2 1 1
direct
0.500 0.000 0.500 Re
0.000 0.000 0.000 Re
0.000 0.500 0.500 K
0.500 0.500 0.000 P



# 8
KReP2 (PBE, relaxed); ρ = 5.3 g/cm3; E_form = -119 meV per atom; electronic total energy = -6.211 eV/atom; energy above the most stable polymorph in this dataset = 66.0 meV/atom
1.0
4.243 0.004 0.073
3.057 2.943 0.073
1.174 0.474 7.264
P Re K
2 1 1
direct
0.823 0.823 0.609 P
0.965 0.965 0.937 P
0.515 0.515 0.704 Re
0.198 0.198 0.250 K



# 9
KRe2P (PBE, relaxed); ρ = 10.3 g/cm3; E_form = 1595 meV per atom; electronic total energy = -6.256 eV/atom; energy above the most stable polymorph in this dataset = 1233.9 meV/atom
1.0
-5.154 0.935 1.963
-4.526 -0.241 -3.279
4.575 -2.980 1.217
K Re P
1 2 1
direct
0.750 0.250 0.500 K
0.000 0.000 0.000 Re
0.500 0.500 0.000 Re
0.250 0.750 0.500 P



# 10
K4ReP (PBE, relaxed); ρ = 3.1 g/cm3; E_form = 1362 meV per atom; electronic total energy = -2.346 eV/atom
1.0
-5.288 3.565 1.621
-2.899 3.820 -4.505
-5.917 -1.625 -2.375
P K Re
1 4 1
direct
0.750 0.750 0.750 P
0.377 0.377 0.870 K
0.870 0.377 0.377 K
0.377 0.870 0.377 K
0.377 0.377 0.377 K
0.000 0.000 0.000 Re



# 11
KReP2 (PBE, relaxed); ρ = 6.6 g/cm3; E_form = 504 meV per atom; electronic total energy = -5.587 eV/atom; energy above the most stable polymorph in this dataset = 689.3 meV/atom
1.0
9.133 0.022 0.013
8.619 3.021 0.013
8.619 1.477 2.635
K P Re
1 2 1
direct
0.746 0.746 0.746 K
0.250 0.250 0.250 P
0.980 0.980 0.980 P
0.524 0.524 0.524 Re



# 12
KRe2P (PBE, relaxed); ρ = 10.4 g/cm3; E_form = 1586 meV per atom; electronic total energy = -6.264 eV/atom; energy above the most stable polymorph in this dataset = 1225.1 meV/atom
1.0
4.820 0.000 0.000
0.000 3.835 0.000
0.000 0.000 3.835
P K Re
1 1 2
direct
0.500 0.000 0.500 P
0.500 0.500 0.000 K
0.000 0.000 0.000 Re
0.000 0.500 0.500 Re